Entry 1:
# CaPrBr | Alexandria | GGA-PBE | optimized geometry
# Density of states at the Fermi level in states/eV/cell: 1.69
# VASP energy in Ry per atom: -0.268
data_CaPrBr
_cell_length_a 3.8638
_cell_length_b 3.8638
_cell_length_c 7.6083
_cell_angle_alpha 90.00
_cell_angle_beta 90.00
_cell_angle_gamma 120.00
_space_group_name_H-M_alt 'P 3 m 1'
_space_group_IT_number 156
loop_
_space_group_symop_operation_xyz
'x,y,z'
'-y,x-y,z'
'-x+y,-x,z'
'-y,-x,z'
'-x+y,y,z'
'x,x-y,z'
loop_
_atom_site_label
_atom_site_type_symbol
_atom_site_fract_x
_atom_site_fract_y
_atom_site_fract_z
Ca1 Ca 0.0000 0.0000 0.0000
Pr1 Pr 0.6667 0.3333 0.3939
Br1 Br 0.3333 0.6667 0.7024

***

Entry 2:
# Tl2ZnIr | Alexandria | GGA-PBE | optimized geometry
# Density of states at the Fermi level in states/eV/cell: 4.92
# Formation enthalpy at 0 K in eV per atom: 0.7725
data_Tl2ZnIr
_cell_length_a 6.441
_cell_length_b 6.441
_cell_length_c 12.481
_cell_angle_alpha 90.00
_cell_angle_beta 90.00
_cell_angle_gamma 90.00
_space_group_name_H-M_alt 'I -4 2 d'
_space_group_IT_number 122
_space_group_name_Hall 'I -4 2bw'
loop_
_atom_site_label
_atom_site_type_symbol
_atom_site_fract_x
_atom_site_fract_y
_atom_site_fract_z
Tl1 Tl 0.216 0.250 0.125
Zn1 Zn 0.000 0.000 0.500
Ir1 Ir 0.000 0.000 0.000

***

Entry 3:
# Ba3Al2Pb4 | Alexandria | GGA-PBE | optimized geometry
# Density of states at the Fermi level in states/eV/cell: 4.73
# Formation enthalpy at 0 K in eV per atom: -0.3853
data_Ba3Al2Pb4
_cell_length_a 13.586
_cell_length_b 4.865
_cell_length_c 9.963
_cell_angle_alpha 90.00
_cell_angle_beta 108.37
_cell_angle_gamma 90.00
_space_group_name_H-M_alt 'C 1 2/m 1'
_space_group_IT_number 12
loop_
_space_group_symop_operation_xyz
'x,y,z'
'-x,-y,-z'
'-x,y,-z'
'x,-y,z'
'x+1/2,y+1/2,z'
'-x+1/2,-y+1/2,-z'
'-x+1/2,y+1/2,-z'
'x+1/2,-y+1/2,z'
loop_
_atom_site_label
_atom_site_type_symbol
_atom_site_fract_x
_atom_site_fract_y
_atom_site_fract_z
Ba1 Ba 0.000 0.000 0.000
Ba2 Ba 0.116 0.500 0.686
Al1 Al 0.208 0.500 0.359
Pb1 Pb 0.103 0.000 0.391
Pb2 Pb 0.204 0.500 0.061

***

Entry 4:
# GaAsAuC | Alexandria | GGA-PBE | optimized geometry
# Density of states at the Fermi level in states/eV/cell: 0.75
# Formation enthalpy at 0 K in eV per atom: 0.3591
data_GaAsAuC
_cell_length_a 5.618
_cell_length_b 3.225
_cell_length_c 7.415
_cell_angle_alpha 90.00
_cell_angle_beta 104.73
_cell_angle_gamma 90.00
_space_group_name_H-M_alt 'C 1 m 1'
_space_group_IT_number 8
loop_
_space_group_symop_operation_xyz
'x,y,z'
'x,-y,z'
'x+1/2,y+1/2,z'
'x+1/2,-y+1/2,z'
loop_
_atom_site_label
_atom_site_type_symbol
_atom_site_fract_x
_atom_site_fract_y
_atom_site_fract_z
Ga1 Ga 0.000 0.000 0.000
As1 As 0.031 0.500 0.598
Au1 Au 0.414 0.000 0.244
C1 C 0.405 0.500 0.717

***

Entry 5:
# SrLu2Pd | Alexandria | GGA-PBE | optimized geometry
# Density of states at the Fermi level in states/eV/cell: 5.04
# Formation enthalpy at 0 K in eV per atom: -0.3395
data_SrLu2Pd
_cell_length_a 3.517
_cell_length_b 3.517
_cell_length_c 9.511
_cell_angle_alpha 90.00
_cell_angle_beta 90.00
_cell_angle_gamma 90.00
_space_group_name_H-M_alt 'P 4/m m m'
_space_group_IT_number 123
_space_group_name_Hall '-P 4 2'
loop_
_atom_site_label
_atom_site_type_symbol
_atom_site_fract_x
_atom_site_fract_y
_atom_site_fract_z
Sr1 Sr 0.000 0.000 0.000
Lu1 Lu 0.500 0.500 0.328
Pd1 Pd 0.000 0.000 0.500

***

Entry 6:
# LaY2Tl3 | Alexandria | GGA-PBE | optimized geometry
# Density of states at the Fermi level in states/eV/cell: 4.44
# Formation enthalpy at 0 K in eV per atom: -0.4002
data_LaY2Tl3
_cell_length_a 3.805
_cell_length_b 3.805
_cell_length_c 11.893
_cell_angle_alpha 90.00
_cell_angle_beta 90.00
_cell_angle_gamma 90.00
_space_group_name_H-M_alt 'P 4/m m m'
_space_group_IT_number 123
_space_group_name_Hall '-P 4 2'
loop_
_atom_site_label
_atom_site_type_symbol
_atom_site_fract_x
_atom_site_fract_y
_atom_site_fract_z
La1 La 0.000 0.000 0.000
Y1 Y 0.000 0.000 0.340
Tl1 Tl 0.500 0.500 0.182
Tl2 Tl 0.500 0.500 0.500

***

Entry 7:
# Sr2ZnCr | Alexandria | GGA-PBE | optimized geometry
# Density of states at the Fermi level in states/eV/cell: 22.70
# Formation enthalpy at 0 K in eV per atom: 1.2737
data_Sr2ZnCr
_cell_length_a 4.562
_cell_length_b 4.562
_cell_length_c 21.163
_cell_angle_alpha 90.00
_cell_angle_beta 90.00
_cell_angle_gamma 90.00
_space_group_name_H-M_alt 'I -4 2 d'
_space_group_IT_number 122
_space_group_name_Hall 'I -4 2bw'
loop_
_atom_site_label
_atom_site_type_symbol
_atom_site_fract_x
_atom_site_fract_y
_atom_site_fract_z
Sr1 Sr 0.247 0.250 0.125
Zn1 Zn 0.000 0.000 0.500
Cr1 Cr 0.000 0.000 0.000

***

Entry 8:
# HPtSCl2 | Alexandria | GGA-PBE | optimized geometry
# Density of states at the Fermi level in states/eV/cell: 5.75
# VASP energy in Ry per atom: -0.191
data_HPtSCl2
_cell_length_a 5.010
_cell_length_b 5.010
_cell_length_c 3.112
_cell_angle_alpha 90.00
_cell_angle_beta 90.00
_cell_angle_gamma 90.00
_space_group_name_H-M_alt 'P 4/m m m'
_space_group_IT_number 123
_space_group_name_Hall '-P 4 2'
loop_
_atom_site_label
_atom_site_type_symbol
_atom_site_fract_x
_atom_site_fract_y
_atom_site_fract_z
H1 H 0.000 0.000 0.000
Pt1 Pt 0.500 0.500 0.500
S1 S 0.000 0.000 0.500
Cl1 Cl 0.000 0.500 0.000

***

Entry 9:
# NdB2Ir2 | Alexandria | GGA-PBE | optimized geometry
# Density of states at the Fermi level in states/eV/cell: 20.73
# Formation enthalpy at 0 K in eV per atom: -0.7224
data_NdB2Ir2
_cell_length_a 6.105
_cell_length_b 9.398
_cell_length_c 10.636
_cell_angle_alpha 90.00
_cell_angle_beta 90.00
_cell_angle_gamma 90.00
_space_group_name_H-M_alt 'F d d d'
_space_group_IT_number 70
loop_
_space_group_symop_operation_xyz
'x,y,z'
'-x,-y,-z'
'-x+1/4,-y+1/4,z'
'x+1/4,y+1/4,-z'
'x,-y+1/4,-z+1/4'
'-x,y+1/4,z+1/4'
'-x+1/4,y,-z+1/4'
'x+1/4,-y,z+1/4'
'x,y+1/2,z+1/2'
'-x,-y+1/2,-z+1/2'
'-x+1/4,-y+3/4,z+1/2'
'x+1/4,y+3/4,-z+1/2'
'x,-y+3/4,-z+3/4'
'-x,y+3/4,z+3/4'
'-x+1/4,y+1/2,-z+3/4'
'x+1/4,-y+1/2,z+3/4'
'x+1/2,y,z+1/2'
'-x+1/2,-y,-z+1/2'
'-x+3/4,-y+1/4,z+1/2'
'x+3/4,y+1/4,-z+1/2'
'x+1/2,-y+1/4,-z+3/4'
'-x+1/2,y+1/4,z+3/4'
'-x+3/4,y,-z+3/4'
'x+3/4,-y,z+3/4'
'x+1/2,y+1/2,z'
'-x+1/2,-y+1/2,-z'
'-x+3/4,-y+3/4,z'
'x+3/4,y+3/4,-z'
'x+1/2,-y+3/4,-z+1/4'
'-x+1/2,y+3/4,z+1/4'
'-x+3/4,y+1/2,-z+1/4'
'x+3/4,-y+1/2,z+1/4'
loop_
_atom_site_label
_atom_site_type_symbol
_atom_site_fract_x
_atom_site_fract_y
_atom_site_fract_z
Nd1 Nd 0.125 0.125 0.125
B1 B 0.125 0.305 0.625
Ir1 Ir 0.125 0.125 0.495

***

Entry 10:
# BaEuRh4 | Alexandria | GGA-PBE | optimized geometry
# Density of states at the Fermi level in states/eV/cell: 63.10
# Formation enthalpy at 0 K in eV per atom: -0.2431
data_BaEuRh4
_cell_length_a 7.803
_cell_length_b 7.803
_cell_length_c 7.803
_cell_angle_alpha 90.00
_cell_angle_beta 90.00
_cell_angle_gamma 90.00
_space_group_name_H-M_alt 'F -4 3 m'
_space_group_IT_number 216
_space_group_name_Hall 'F -4 2 3'
loop_
_atom_site_label
_atom_site_type_symbol
_atom_site_fract_x
_atom_site_fract_y
_atom_site_fract_z
Ba1 Ba 0.000 0.000 0.000
Eu1 Eu 0.250 0.250 0.750
Rh1 Rh 0.125 0.125 0.375

***

Entry 11:
# TcNiRh | Alexandria | GGA-PBE | optimized geometry
# Density of states at the Fermi level in states/eV/cell: 10.66
# Formation enthalpy at 0 K in eV per atom: -0.0961
data_TcNiRh
_cell_length_a 4.295
_cell_length_b 4.597
_cell_length_c 8.011
_cell_angle_alpha 90.00
_cell_angle_beta 90.00
_cell_angle_gamma 90.00
_space_group_name_H-M_alt 'A m a 2'
_space_group_IT_number 40
loop_
_space_group_symop_operation_xyz
'x,y,z'
'-x,-y,z'
'-x+1/2,y,z'
'x+1/2,-y,z'
'x,y+1/2,z+1/2'
'-x,-y+1/2,z+1/2'
'-x+1/2,y+1/2,z+1/2'
'x+1/2,-y+1/2,z+1/2'
loop_
_atom_site_label
_atom_site_type_symbol
_atom_site_fract_x
_atom_site_fract_y
_atom_site_fract_z
Tc1 Tc 0.250 0.173 0.000
Ni1 Ni 0.250 0.165 0.658
Rh1 Rh 0.250 0.177 0.324

***

Entry 12:
# InIrSe2 | Alexandria | GGA-PBE | optimized geometry
# Density of states at the Fermi level in states/eV/cell: 8.89
# VASP energy in Ry per atom: -0.356
data_InIrSe2
_cell_length_a 3.7383
_cell_length_b 3.7383
_cell_length_c 25.7044
_cell_angle_alpha 90.00
_cell_angle_beta 90.00
_cell_angle_gamma 120.00
_space_group_name_H-M_alt 'R -3 m'
_space_group_IT_number 166
_space_group_name_Hall '-R 3 2"'
loop_
_atom_site_label
_atom_site_type_symbol
_atom_site_fract_x
_atom_site_fract_y
_atom_site_fract_z
In1 In 0.0000 0.0000 0.0000
Ir1 Ir 0.0000 0.0000 0.5000
Se1 Se 0.0000 0.0000 0.1175

***

Entry 13:
# Sm12DyTl6 | Alexandria | GGA-PBE | optimized geometry
# Density of states at the Fermi level in states/eV/cell: 95.50
# Formation enthalpy at 0 K in eV per atom: 0.0271
data_Sm12DyTl6
_cell_length_a 14.1521
_cell_length_b 14.1521
_cell_length_c 11.3369
_cell_angle_alpha 90.00
_cell_angle_beta 90.00
_cell_angle_gamma 120.00
_space_group_name_H-M_alt 'R -3 m'
_space_group_IT_number 166
_space_group_name_Hall '-R 3 2"'
loop_
_atom_site_label
_atom_site_type_symbol
_atom_site_fract_x
_atom_site_fract_y
_atom_site_fract_z
Sm1 Sm 0.0000 0.3814 0.0000
Sm2 Sm 0.0874 0.1749 0.8477
Dy1 Dy 0.0000 0.0000 0.5000
Tl1 Tl 0.0300 0.5150 0.7626

***

Entry 14:
# Ti15Nb2Pb2 | Alexandria | GGA-PBE | optimized geometry
# Density of states at the Fermi level in states/eV/cell: 105.50
# Formation enthalpy at 0 K in eV per atom: 0.3115
data_Ti15Nb2Pb2
_cell_length_a 9.1228
_cell_length_b 9.1228
_cell_length_c 14.6687
_cell_angle_alpha 90.00
_cell_angle_beta 90.00
_cell_angle_gamma 120.00
_space_group_name_H-M_alt 'R -3 m'
_space_group_IT_number 166
_space_group_name_Hall '-R 3 2"'
loop_
_atom_site_label
_atom_site_type_symbol
_atom_site_fract_x
_atom_site_fract_y
_atom_site_fract_z
Ti1 Ti 0.0000 0.2971 0.0000
Ti2 Ti 0.0000 0.5000 0.5000
Ti3 Ti 0.0315 0.5157 0.1385
Nb1 Nb 0.0000 0.0000 0.0910
Pb1 Pb 0.0000 0.0000 0.3063

***

Entry 15:
# La6Zn2Pt | Alexandria | GGA-PBE | optimized geometry
# Density of states at the Fermi level in states/eV/cell: 25.49
# Formation enthalpy at 0 K in eV per atom: -0.3254
data_La6Zn2Pt
_cell_length_a 6.407
_cell_length_b 8.225
_cell_length_c 12.350
_cell_angle_alpha 90.00
_cell_angle_beta 120.76
_cell_angle_gamma 90.00
_space_group_name_H-M_alt 'P 1 21/c 1'
_space_group_IT_number 14
loop_
_space_group_symop_operation_xyz
'x,y,z'
'-x,-y,-z'
'-x,y+1/2,-z+1/2'
'x,-y+1/2,z+1/2'
loop_
_atom_site_label
_atom_site_type_symbol
_atom_site_fract_x
_atom_site_fract_y
_atom_site_fract_z
La1 La 0.070 0.191 0.445
La2 La 0.309 0.653 0.449
La3 La 0.370 0.033 0.242
Zn1 Zn 0.147 0.119 0.738
Pt1 Pt 0.500 0.000 0.500

***

Entry 16:
# Na4Ca4Be4AlSi7O24F4 | Alexandria | GGA-PBE | optimized geometry
# Density of states at the Fermi level in states/eV/cell: 33.23
# VASP energy in Ry per atom: -0.511
data_Na4Ca4Be4AlSi7O24F4
_cell_length_a 10.631
_cell_length_b 10.631
_cell_length_c 10.027
_cell_angle_alpha 90.00
_cell_angle_beta 90.00
_cell_angle_gamma 90.00
_space_group_name_H-M_alt 'I -4'
_space_group_IT_number 82
loop_
_space_group_symop_operation_xyz
'x,y,z'
'y,-x,-z'
'-x,-y,z'
'-y,x,-z'
'x+1/2,y+1/2,z+1/2'
'y+1/2,-x+1/2,-z+1/2'
'-x+1/2,-y+1/2,z+1/2'
'-y+1/2,x+1/2,-z+1/2'
loop_
_atom_site_label
_atom_site_type_symbol
_atom_site_fract_x
_atom_site_fract_y
_atom_site_fract_z
Na1 Na 0.085 0.239 0.251
Ca1 Ca 0.092 0.256 0.756
Be1 Be 0.106 0.752 0.971
Al1 Al 0.000 0.000 0.500
Si1 Si 0.000 0.000 0.000
Si2 Si 0.000 0.500 0.505
Si3 Si 0.113 0.745 0.474
O1 O 0.029 0.873 0.910
O2 O 0.039 0.621 0.407
O3 O 0.041 0.623 0.907
O4 O 0.048 0.870 0.402
O5 O 0.103 0.743 0.634
O6 O 0.244 0.246 0.089
F1 F 0.109 0.754 0.130

***

Entry 17:
# LaHoAgRu | Alexandria | GGA-PBE | optimized geometry
# Density of states at the Fermi level in states/eV/cell: 13.51
# Formation enthalpy at 0 K in eV per atom: -0.2520
data_LaHoAgRu
_cell_length_a 7.178
_cell_length_b 7.178
_cell_length_c 7.178
_cell_angle_alpha 90.00
_cell_angle_beta 90.00
_cell_angle_gamma 90.00
_space_group_name_H-M_alt 'F -4 3 m'
_space_group_IT_number 216
_space_group_name_Hall 'F -4 2 3'
loop_
_atom_site_label
_atom_site_type_symbol
_atom_site_fract_x
_atom_site_fract_y
_atom_site_fract_z
La1 La 0.000 0.000 0.000
Ho1 Ho 0.000 0.000 0.500
Ag1 Ag 0.250 0.250 0.750
Ru1 Ru 0.250 0.250 0.250

***

Entry 18:
# Co2AuCl | Alexandria | GGA-PBE | optimized geometry
# Density of states at the Fermi level in states/eV/cell: 18.41
# VASP energy in Ry per atom: -0.328
data_Co2AuCl
_cell_length_a 2.9588
_cell_length_b 2.9588
_cell_length_c 23.1965
_cell_angle_alpha 90.00
_cell_angle_beta 90.00
_cell_angle_gamma 120.00
_space_group_name_H-M_alt 'R -3 m'
_space_group_IT_number 166
_space_group_name_Hall '-R 3 2"'
loop_
_atom_site_label
_atom_site_type_symbol
_atom_site_fract_x
_atom_site_fract_y
_atom_site_fract_z
Co1 Co 0.0000 0.0000 0.2437
Au1 Au 0.0000 0.0000 0.0000
Cl1 Cl 0.0000 0.0000 0.5000

***

Entry 19:
# Zn2Co2Ni15 | Alexandria | GGA-PBE | optimized geometry
# Density of states at the Fermi level in states/eV/cell: 73.91
# Formation enthalpy at 0 K in eV per atom: 0.1245
data_Zn2Co2Ni15
_cell_length_a 8.0278
_cell_length_b 8.0278
_cell_length_c 12.1945
_cell_angle_alpha 90.00
_cell_angle_beta 90.00
_cell_angle_gamma 120.00
_space_group_name_H-M_alt 'R -3 m'
_space_group_IT_number 166
_space_group_name_Hall '-R 3 2"'
loop_
_atom_site_label
_atom_site_type_symbol
_atom_site_fract_x
_atom_site_fract_y
_atom_site_fract_z
Zn1 Zn 0.0000 0.0000 0.1501
Co1 Co 0.0000 0.0000 0.4080
Ni1 Ni 0.0000 0.3129 0.5000
Ni2 Ni 0.0000 0.5000 0.0000
Ni3 Ni 0.0018 0.5009 0.6573

***

Entry 20:
# TaInBr2 | Alexandria | GGA-PBE | optimized geometry
# Density of states at the Fermi level in states/eV/cell: 1.46
# VASP energy in Ry per atom: -0.316
data_TaInBr2
_cell_length_a 3.302
_cell_length_b 4.621
_cell_length_c 6.090
_cell_angle_alpha 90.00
_cell_angle_beta 96.78
_cell_angle_gamma 90.00
_space_group_name_H-M_alt 'P 1 2/m 1'
_space_group_IT_number 10
loop_
_space_group_symop_operation_xyz
'x,y,z'
'-x,-y,-z'
'-x,y,-z'
'x,-y,z'
loop_
_atom_site_label
_atom_site_type_symbol
_atom_site_fract_x
_atom_site_fract_y
_atom_site_fract_z
Ta1 Ta 0.000 0.000 0.000
In1 In 0.500 0.000 0.500
Br1 Br 0.119 0.500 0.773

***

| no. | V (Å³/atom) |
| --- | --- |
| 1 | 32.8 |
| 2 | 32.4 |
| 3 | 34.7 |
| 4 | 16.2 |
| 5 | 29.4 |
| 6 | 28.7 |
| 7 | 27.5 |
| 8 | 15.6 |
| 9 | 15.3 |
| 10 | 19.8 |
| 11 | 13.2 |
| 12 | 25.9 |
| 13 | 34.5 |
| 14 | 18.5 |
| 15 | 31.1 |
| 16 | 11.8 |
| 17 | 23.1 |
| 18 | 14.7 |
| 19 | 11.9 |
| 20 | 23.1 |